Material: Ba3In7Au2
Method: DFT, GGA-PBE
State: relaxed

```
12
Lattice="-4.233 4.182 2.334 -0.424 0.935 6.309 5.201 8.882 2.271" Properties=species:S:1:pos:R:3 pbc="T T T"
Ba 0.000 0.000 0.000
Ba -1.769 8.186 8.382
Ba 2.314 5.814 2.531
In 0.272 7.000 5.457
In -2.914 6.339 5.341
In -0.965 4.677 7.375
In -0.748 4.198 4.146
In 3.459 7.661 5.573
In 1.293 9.801 6.767
In 1.510 9.323 3.538
Au -3.046 3.473 5.757
Au 3.591 10.526 5.157
```

Values from the calculation:
E_form = -0.447 eV/atom